(1)
This record from Alexandria describes crystalline Pm2PrY5 at its relaxed geometry. The functional is GGA-PBE.

## Properties
E_tot = -186.00 eV per cell
DOS at the Fermi energy = 41.3 states/eV/cell
Space group = No. 55
Formation enthalpy at 0 K = 0.10 eV/f.u.

a b c (Å): 7.207 20.333 7.230
angles (deg): 90.00 90.00 90.00
Element x y z (fractional)
Pm 0.000 0.000 0.249
Pm 0.000 0.000 0.751
Pm 0.249 0.374 0.000
Pm 0.251 0.874 0.000
Pm 0.500 0.500 0.249
Pm 0.500 0.500 0.751
Pm 0.749 0.126 0.000
Pm 0.751 0.626 0.000
Pr 0.249 0.374 0.500
Pr 0.251 0.874 0.500
Pr 0.749 0.126 0.500
Pr 0.751 0.626 0.500
Y 0.000 0.500 0.249
Y 0.000 0.500 0.751
Y 0.002 0.750 0.249
Y 0.002 0.750 0.751
Y 0.248 0.125 0.000
Y 0.248 0.125 0.500
Y 0.252 0.625 0.000
Y 0.252 0.625 0.500
Y 0.498 0.250 0.249
Y 0.498 0.250 0.751
Y 0.500 0.000 0.249
Y 0.500 0.000 0.751
Y 0.502 0.750 0.249
Y 0.502 0.750 0.751
Y 0.748 0.375 0.000
Y 0.748 0.375 0.500
Y 0.752 0.875 0.000
Y 0.752 0.875 0.500
Y 0.998 0.250 0.249
Y 0.998 0.250 0.751

=====

(2)
This record from Alexandria describes crystalline PmPr3Y12 at its relaxed geometry. The functional is GGA-PBE.

## Properties
E_tot = -96.31 eV per cell
DOS at the Fermi energy = 24.9 states/eV/cell
Space group = No. 123
Formation enthalpy at 0 K = 0.35 eV/f.u.

a b c (Å): 5.095 5.095 20.384
angles (deg): 90.00 90.00 90.00
Element x y z (fractional)
Pm 0.000 0.000 0.000
Pr 0.000 0.000 0.250
Pr 0.000 0.000 0.500
Pr 0.000 0.000 0.750
Y 0.000 0.500 0.124
Y 0.000 0.500 0.375
Y 0.000 0.500 0.625
Y 0.000 0.500 0.876
Y 0.500 0.000 0.124
Y 0.500 0.000 0.375
Y 0.500 0.000 0.625
Y 0.500 0.000 0.876
Y 0.500 0.500 0.000
Y 0.500 0.500 0.249
Y 0.500 0.500 0.500
Y 0.500 0.500 0.751

=====

(3)
This record from Alexandria describes crystalline Pm2PrY7 at its relaxed geometry. The functional is GGA-PBE.

## Properties
E_tot = -52.69 eV per cell
DOS at the Fermi energy = 14.4 states/eV/cell
Space group = No. 65
Formation enthalpy at 0 K = 6.84 eV/f.u.

a b c (Å): 9.258 9.258 5.602
angles (deg): 90.00 90.00 123.37
Element x y z (fractional)
Pm 0.203 0.797 0.000
Pm 0.797 0.203 0.000
Pr 0.500 0.500 0.500
Y 0.000 0.000 0.000
Y 0.208 0.437 0.000
Y 0.280 0.720 0.500
Y 0.437 0.208 0.000
Y 0.563 0.792 0.000
Y 0.720 0.280 0.500
Y 0.792 0.563 0.000

=====

(4)
This record from Alexandria describes crystalline Pm2PrY at its relaxed geometry. The functional is GGA-PBE.

## Properties
E_tot = -20.71 eV per cell
DOS at the Fermi energy = 6.4 states/eV/cell
Space group = No. 160
Formation enthalpy at 0 K = 0.04 eV/f.u.

a b c (Å): 12.009 12.009 12.009
angles (deg): 17.57 17.57 17.57
Element x y z (fractional)
Pm 0.000 0.000 0.000
Pm 0.164 0.164 0.164
Pr 0.582 0.582 0.582
Y 0.416 0.416 0.416

=====

(5)
This record from Alexandria describes crystalline PmPr3Y2 at its relaxed geometry. The functional is GGA-PBE.

## Properties
E_tot = -31.96 eV per cell
DOS at the Fermi energy = 8.4 states/eV/cell
Space group = No. 2
Formation enthalpy at 0 K = 0.06 eV/f.u.

a b c (Å): 6.292 6.345 6.350
angles (deg): 60.07 70.28 80.33
Element x y z (fractional)
Pm 0.000 0.000 0.000
Pr 0.500 0.000 0.500
Pr 0.500 0.333 0.834
Pr 0.500 0.667 0.166
Y 0.000 0.334 0.333
Y 0.000 0.666 0.667

=====

(6)
This record from Alexandria describes crystalline Pm2Pr4Y5 at its relaxed geometry. The functional is GGA-PBE.

## Properties
E_tot = -59.88 eV per cell
DOS at the Fermi energy = 20.9 states/eV/cell
Space group = No. 12
Formation enthalpy at 0 K = 1.06 eV/f.u.

a b c (Å): 10.311 10.311 6.443
angles (deg): 94.49 94.49 33.45
Element x y z (fractional)
Pm 0.097 0.097 0.043
Pm 0.903 0.903 0.957
Pr 0.192 0.192 0.571
Pr 0.464 0.464 0.233
Pr 0.536 0.536 0.767
Pr 0.808 0.808 0.429
Y 0.000 0.000 0.500
Y 0.284 0.284 0.110
Y 0.368 0.368 0.653
Y 0.632 0.632 0.347
Y 0.716 0.716 0.890